No. 1
A relaxed structure of VReMo, computed with PBE-GGA.

Computed properties:
As for the calculated volume: 14.7 Å³/atom. For the distance to the lowest polymorph of the same formula, the calculation gives 0.0050 eV/atom. Its total magnetization is 0.0 μB per formula unit.

The structure in CIF format:
```
data_VReMo
_space_group_name_H-M_alt 'P 1'
_space_group_IT_number 1
_cell_length_a 2.700
_cell_length_b 4.349
_cell_length_c 4.349
_cell_angle_alpha 120.00
_cell_angle_beta 90.00
_cell_angle_gamma 90.00
loop_
_space_group_symop_operation_xyz
'x,y,z'
loop_
_atom_site_label
_atom_site_type_symbol
_atom_site_fract_x
_atom_site_fract_y
_atom_site_fract_z
_atom_site_occupancy
Mo1 Mo 0.665 0.333 0.667 1
V1 V 0.334 0.667 0.333 1
Re1 Re 0.001 0.000 0.000 1
```

No. 2
A relaxed structure of La3Ga2Hg4, computed with PBE-GGA.

Computed properties:
The calculation puts the final energy at -2.9760 eV/atom. As for the calculated volume: 26.1 Å³/atom. Its total magnetization is 0.0 μB per formula unit.

The structure in CIF format:
```
data_La3Ga2Hg4
_space_group_name_H-M_alt 'P 1'
_space_group_IT_number 1
_cell_length_a 4.890
_cell_length_b 6.212
_cell_length_c 8.936
_cell_angle_alpha 73.12
_cell_angle_beta 74.12
_cell_angle_gamma 66.82
loop_
_space_group_symop_operation_xyz
'x,y,z'
loop_
_atom_site_label
_atom_site_type_symbol
_atom_site_fract_x
_atom_site_fract_y
_atom_site_fract_z
_atom_site_occupancy
La1 La 0.000 0.000 0.000 1
Ga1 Ga 0.392 0.940 0.276 1
Hg1 Hg 0.699 0.642 0.960 1
Hg2 Hg 0.921 0.752 0.407 1
Hg3 Hg 0.079 0.248 0.593 1
La2 La 0.664 0.342 0.330 1
Hg4 Hg 0.301 0.358 0.040 1
Ga2 Ga 0.608 0.060 0.724 1
La3 La 0.336 0.658 0.670 1
```

No. 3
A relaxed structure of Sm3Sb4Rh7, computed with PBE-GGA.

Computed properties:
Its formation energy without anion corrections is -17.875 kcal/mol of atoms. As for the calculated volume: 19.8 Å³/atom. Its total magnetization is 0.0 μB per formula unit.

The structure in CIF format:
```
data_Sm3Sb4Rh7
_space_group_name_H-M_alt 'P 1'
_space_group_IT_number 1
_cell_length_a 4.256
_cell_length_b 8.309
_cell_length_c 8.682
_cell_angle_alpha 71.47
_cell_angle_beta 75.81
_cell_angle_gamma 75.16
loop_
_space_group_symop_operation_xyz
'x,y,z'
loop_
_atom_site_label
_atom_site_type_symbol
_atom_site_fract_x
_atom_site_fract_y
_atom_site_fract_z
_atom_site_occupancy
Sm1 Sm 0.663 0.825 0.848 1
Rh1 Rh 0.306 0.851 0.537 1
Sb1 Sb 0.336 0.557 0.771 1
Sm2 Sm 0.000 0.500 0.500 1
Rh2 Rh 0.000 0.000 0.000 1
Rh3 Rh 0.838 0.395 0.929 1
Rh4 Rh 0.491 0.224 0.795 1
Sb2 Sb 0.889 0.888 0.334 1
Rh5 Rh 0.509 0.776 0.205 1
Rh6 Rh 0.694 0.149 0.463 1
Sb3 Sb 0.111 0.112 0.666 1
Sm3 Sm 0.337 0.175 0.152 1
Sb4 Sb 0.664 0.443 0.229 1
Rh7 Rh 0.162 0.605 0.071 1
```

No. 4
A relaxed structure of Ti2AlAgAs, computed with PBE-GGA.

Computed properties:
The calculation puts the final energy at -4.3695 eV/atom. As for the calculated volume: 23.9 Å³/atom. Its total magnetization is 2.5 μB per formula unit.

The structure in CIF format:
```
data_Ti2AlAgAs
_space_group_name_H-M_alt 'P 1'
_space_group_IT_number 1
_cell_length_a 4.992
_cell_length_b 4.787
_cell_length_c 4.992
_cell_angle_alpha 90.00
_cell_angle_beta 90.00
_cell_angle_gamma 90.00
loop_
_space_group_symop_operation_xyz
'x,y,z'
loop_
_atom_site_label
_atom_site_type_symbol
_atom_site_fract_x
_atom_site_fract_y
_atom_site_fract_z
_atom_site_occupancy
As1 As 0.000 0.500 0.000 1
Ag1 Ag 0.000 0.000 0.000 1
Al1 Al 0.500 0.500 0.500 1
Ti1 Ti 0.500 0.000 0.000 1
Ti2 Ti 0.000 0.000 0.500 1
```

No. 5
A relaxed structure of Co2HgPt2, computed with PBE-GGA.

Computed properties:
As for the calculated volume: 15.5 Å³/atom. For the distance to the lowest polymorph of the same formula, the calculation gives 0.0028 eV/atom. Its total magnetization is 4.6 μB per formula unit.

The structure in CIF format:
```
data_Co2HgPt2
_space_group_name_H-M_alt 'P 1'
_space_group_IT_number 1
_cell_length_a 7.496
_cell_length_b 7.496
_cell_length_c 2.765
_cell_angle_alpha 90.00
_cell_angle_beta 90.00
_cell_angle_gamma 90.00
loop_
_space_group_symop_operation_xyz
'x,y,z'
loop_
_atom_site_label
_atom_site_type_symbol
_atom_site_fract_x
_atom_site_fract_y
_atom_site_fract_z
_atom_site_occupancy
Co1 Co 0.334 0.166 0.500 1
Pt1 Pt 0.370 0.870 0.000 1
Co2 Co 0.834 0.334 0.500 1
Pt2 Pt 0.130 0.370 0.000 1
Hg1 Hg 0.000 0.000 0.000 1
Pt3 Pt 0.870 0.630 0.000 1
Pt4 Pt 0.630 0.130 0.000 1
Hg2 Hg 0.500 0.500 0.000 1
Co3 Co 0.166 0.666 0.500 1
Co4 Co 0.666 0.834 0.500 1
```

No. 6
A relaxed structure of Sr4PbN, computed with PBE-GGA.

Computed properties:
Its formation energy without anion corrections is -4.632 kcal/mol of atoms. As for the calculated volume: 37.6 Å³/atom. For the distance to the lowest polymorph of the same formula, the calculation gives 0.2363 eV/atom. Its total magnetization is 0.0 μB per formula unit.

The structure in CIF format:
```
data_Sr4PbN
_space_group_name_H-M_alt 'P 1'
_space_group_IT_number 1
_cell_length_a 5.080
_cell_length_b 5.080
_cell_length_c 8.752
_cell_angle_alpha 90.00
_cell_angle_beta 90.00
_cell_angle_gamma 90.00
loop_
_space_group_symop_operation_xyz
'x,y,z'
loop_
_atom_site_label
_atom_site_type_symbol
_atom_site_fract_x
_atom_site_fract_y
_atom_site_fract_z
_atom_site_occupancy
Sr1 Sr 0.000 0.500 0.500 1
Pb1 Pb 0.000 0.000 0.000 1
N1 N 0.500 0.500 0.500 1
Sr2 Sr 0.500 0.500 0.197 1
Sr3 Sr 0.500 0.000 0.500 1
Sr4 Sr 0.500 0.500 0.803 1
```